[1]
This record from Alexandria describes a relaxed structure of NbCo2BRh. The functional is PBE.

a = 4.3745 Å, b = 4.3745 Å, c = 4.1928 Å
α = 90.00°, β = 90.00°, γ = 90.00°
Space group P4/mmm (No. 123)
Asymmetric unit:
Nb: 0.0000 0.0000 0.0000 (multiplicity 1)
Co: 0.0000 0.5000 0.0000 (multiplicity 2)
B: 0.0000 0.0000 0.5000 (multiplicity 1)
Rh: 0.5000 0.5000 0.5000 (multiplicity 1)

calculated volume	80	Å³ per cell
formation enthalpy at 0 K	1.6299	eV per atom

***

[2]
This record from Alexandria describes a relaxed structure of NbCoBRu2. The functional is PBE.

a = 4.0889 Å, b = 4.0889 Å, c = 3.8473 Å
α = 90.00°, β = 90.00°, γ = 90.00°
Space group P4/mmm (No. 123)
Asymmetric unit:
Nb: 0.0000 0.0000 0.0000 (multiplicity 1)
Co: 0.5000 0.5000 0.0000 (multiplicity 1)
B: 0.5000 0.5000 0.5000 (multiplicity 1)
Ru: 0.0000 0.5000 0.5000 (multiplicity 2)

calculated volume	64	Å³ per cell
formation enthalpy at 0 K	-0.2189	eV per atom

***

[3]
This record from Alexandria describes a relaxed structure of Nb2CoB2Ru5. The functional is PBE.

a = 9.3177 Å, b = 9.3177 Å, c = 2.9677 Å
α = 90.00°, β = 90.00°, γ = 90.00°
Space group P4/mbm (No. 127)
Asymmetric unit:
Nb: 0.1772 0.3228 0.0000 (multiplicity 4)
Co: 0.0000 0.0000 0.0000 (multiplicity 2)
B: 0.1247 0.6247 0.0000 (multiplicity 4)
Ru: 0.0000 0.5000 0.5000 (multiplicity 2)
Ru: 0.0704 0.7857 0.5000 (multiplicity 8)

calculated volume	258	Å³ per cell
formation enthalpy at 0 K	-0.3280	eV per atom